(1)
# Cu4WSe | the Alexandria database | PBE | relaxed
# Formation energy from raw total energies   0.557 eV/atom
# Spin magnetization   1.34 μB per cell
data_Cu4WSe
_chemical_formula_sum 'Cu16 W4 Se4'
_cell_length_a 6.919
_cell_length_b 6.919
_cell_length_c 6.919
_cell_angle_alpha 90.00
_cell_angle_beta 90.00
_cell_angle_gamma 90.00
_space_group_name_H-M_alt 'F -4 3 m'
_space_group_IT_number 216
_space_group_name_Hall 'F -4 2 3'
loop_
_atom_site_label
_atom_site_type_symbol
_atom_site_fract_x
_atom_site_fract_y
_atom_site_fract_z
Cu1 Cu 0.125 0.125 0.125
W1 W 0.000 0.000 0.500
Se1 Se 0.250 0.250 0.750



(2)
# UAg2Br6 | the Alexandria database | PBE | relaxed
# E above lowest polymorph   0 meV per atom
# Formation energy from raw total energies   -0.860 eV/atom
# Spin magnetization   6.00 μB per cell
data_UAg2Br6
_chemical_formula_sum 'U3 Ag6 Br18'
_cell_length_a 7.2028
_cell_length_b 7.2028
_cell_length_c 19.7818
_cell_angle_alpha 90.00
_cell_angle_beta 90.00
_cell_angle_gamma 120.00
_space_group_name_H-M_alt 'R -3'
_space_group_IT_number 148
_space_group_name_Hall '-R 3'
loop_
_atom_site_label
_atom_site_type_symbol
_atom_site_fract_x
_atom_site_fract_y
_atom_site_fract_z
U1 U 0.0000 0.0000 0.0000
Ag1 Ag 0.0000 0.0000 0.1823
Br1 Br 0.0075 0.3174 0.0835



- spin magnetization of number 1 (Cu4WSe)?
  1.34 μB per cell